Record 1
K3BiMo2O8: relaxed, GGA+U.

Cell and atoms, written as POSCAR:
```
K3BiMo2O8
1.0
6.1832 0.0000 0.0000
-3.0916 5.3548 0.0000
0.0000 0.0000 7.8958
Mo K O Bi
2 3 8 1
Direct
0.3333 0.6667 0.2153
0.6667 0.3333 0.7847
0.3333 0.6667 0.6652
0.6667 0.3333 0.3348
0.0000 0.0000 0.0000
0.1714 0.8286 0.3094
0.3428 0.1714 0.6906
0.8286 0.6572 0.6906
0.6667 0.3333 0.0109
0.6572 0.8286 0.3094
0.8286 0.1714 0.6906
0.1714 0.3428 0.3094
0.3333 0.6667 0.9891
0.0000 0.0000 0.5000
```

N(E_F)   2.7 states/eV/f.u.



Record 2
KBi2MoO6: relaxed, GGA+U.

Cell and atoms, written as POSCAR:
```
KBi2MoO6
1.0
-5.2341 -2.7940 0.9845
4.8827 -3.2174 -0.7539
2.8497 3.0523 4.7580
O Bi K Mo
6 2 1 1
Direct
0.0808 0.1197 0.7030
0.4175 0.0748 0.1658
0.7559 0.6111 0.6989
0.0993 0.3531 0.1425
0.8419 0.7757 0.1443
0.5710 0.9515 0.6884
0.5685 0.7874 0.3600
0.6007 0.2935 0.8793
0.0393 0.5173 0.5507
0.9906 0.9937 0.9696
```



Short version: raw total energy = -83.036 -60.055 eV per cell, in the order given.